Compound: Ce2PmBi
Source: Alexandria
Functional: PBE-GGA
Structure: relaxed

a = 5.154 Å, b = 4.740 Å, c = 4.740 Å
α = 90.00°, β = 90.00°, γ = 90.00°
Sites, in units of the cell vectors:
1 Bi 0.500 0.000 0.000
2 Ce 0.000 0.000 0.500
3 Ce 0.000 0.500 0.000
4 Pm 0.500 0.500 0.500

Output
Crystal system   tetragonal
Excess energy over the best structure of this formula in the dataset   0.073 eV per atom


Compound: Ce5PmBi3
Source: Alexandria
Functional: PBE-GGA
Structure: relaxed

a = 6.617 Å, b = 9.683 Å, c = 9.683 Å
α = 120.00°, β = 90.00°, γ = 90.00°
Sites, in units of the cell vectors:
1 Ce 0.000 0.667 0.333
2 Ce 0.500 0.333 0.667
3 Ce 0.000 0.333 0.667
4 Ce 0.500 0.667 0.333
5 Ce 0.750 0.658 0.658
6 Ce 0.750 0.000 0.342
7 Ce 0.750 0.342 0.000
8 Ce 0.250 0.342 0.342
9 Ce 0.250 0.000 0.658
10 Ce 0.250 0.658 0.000
11 Pm 0.000 0.000 0.000
12 Pm 0.500 0.000 0.000
13 Bi 0.750 0.328 0.327
14 Bi 0.750 0.000 0.673
15 Bi 0.750 0.672 0.000
16 Bi 0.250 0.672 0.673
17 Bi 0.250 0.000 0.327
18 Bi 0.250 0.328 0.000

Output
Crystal system   hexagonal


Compound: Ce4PmBi5
Source: Alexandria
Functional: PBE-GGA
Structure: relaxed

a = 4.592 Å, b = 6.501 Å, c = 12.175 Å
α = 105.48°, β = 100.87°, γ = 90.00°
Sites, in units of the cell vectors:
1 Ce 0.400 0.400 0.801
2 Ce 0.800 0.800 0.601
3 Ce 0.200 0.200 0.399
4 Ce 0.600 0.600 0.199
5 Pm 0.000 0.000 0.000
6 Bi 0.600 0.100 0.200
7 Bi 0.800 0.300 0.600
8 Bi 0.200 0.700 0.400
9 Bi 0.000 0.500 0.000
10 Bi 0.400 0.900 0.800

Output
Crystal system   orthorhombic


Compound: Ce5PmBi6
Source: Alexandria
Functional: PBE-GGA
Structure: relaxed

a = 7.955 Å, b = 7.970 Å, c = 7.970 Å
α = 60.00°, β = 80.39°, γ = 70.49°
Sites, in units of the cell vectors:
1 Bi 0.750 0.083 0.333
2 Bi 0.250 0.583 0.333
3 Bi 0.250 0.250 0.000
4 Bi 0.750 0.750 0.000
5 Bi 0.750 0.417 0.667
6 Bi 0.250 0.917 0.667
7 Ce 0.500 0.167 0.667
8 Ce 0.000 0.333 0.333
9 Ce 0.500 0.500 0.000
10 Ce 0.000 0.667 0.667
11 Ce 0.500 0.833 0.333
12 Pm 0.000 0.000 0.000

Output
Crystal system   monoclinic


Compound: Ce2PmBi
Source: Alexandria
Functional: PBE-GGA
Structure: relaxed

a = 5.551 Å, b = 5.551 Å, c = 5.551 Å
α = 60.00°, β = 60.00°, γ = 60.00°
Sites, in units of the cell vectors:
1 Bi 0.500 0.500 0.500
2 Ce 0.250 0.250 0.250
3 Ce 0.750 0.750 0.750
4 Pm 0.000 0.000 0.000

Output
Crystal system   cubic
Excess energy over the best structure of this formula in the dataset   0.321 eV per atom


Compound: CePm8Bi6
Source: Alexandria
Functional: PBE-GGA
Structure: relaxed

a = 8.425 Å, b = 8.425 Å, c = 9.848 Å
α = 64.67°, β = 64.67°, γ = 60.00°
Sites, in units of the cell vectors:
1 Ce 0.000 0.000 0.000
2 Pm 0.546 0.210 0.367
3 Pm 0.790 0.123 0.633
4 Pm 0.123 0.454 0.633
5 Pm 0.667 0.667 0.000
6 Pm 0.333 0.333 0.000
7 Pm 0.877 0.546 0.367
8 Pm 0.210 0.877 0.367
9 Pm 0.454 0.790 0.633
10 Bi 0.403 0.067 0.797
11 Bi 0.933 0.267 0.203
12 Bi 0.267 0.597 0.203
13 Bi 0.733 0.403 0.797
14 Bi 0.067 0.733 0.797
15 Bi 0.597 0.933 0.203

Output
Crystal system   trigonal


Compound: Ce4Pm3Bi4
Source: Alexandria
Functional: PBE-GGA
Structure: relaxed

a = 4.343 Å, b = 8.619 Å, c = 9.806 Å
α = 90.00°, β = 90.00°, γ = 104.59°
Sites, in units of the cell vectors:
1 Ce 0.607 0.214 0.500
2 Ce 0.589 0.177 0.000
3 Ce 0.086 0.172 0.781
4 Ce 0.086 0.172 0.219
5 Pm 0.399 0.798 0.272
6 Pm 0.399 0.798 0.728
7 Pm 0.266 0.532 0.000
8 Bi 0.739 0.478 0.749
9 Bi 0.739 0.478 0.251
10 Bi 0.959 0.917 0.500
11 Bi 0.930 0.860 0.000

Output
Crystal system   orthorhombic


Compound: Ce2Pm5Bi4
Source: Alexandria
Functional: PBE-GGA
Structure: relaxed

a = 4.311 Å, b = 7.657 Å, c = 13.769 Å
α = 116.82°, β = 99.01°, γ = 90.00°
Sites, in units of the cell vectors:
1 Ce 0.744 0.599 0.488
2 Ce 0.256 0.401 0.512
3 Pm 0.171 0.813 0.342
4 Pm 0.829 0.187 0.658
5 Pm 0.138 0.234 0.276
6 Pm 0.500 0.000 0.000
7 Pm 0.862 0.766 0.724
8 Bi 0.608 0.474 0.216
9 Bi 0.048 0.794 0.096
10 Bi 0.392 0.526 0.784
11 Bi 0.952 0.206 0.904

Output
Crystal system   monoclinic


Taking the records one at a time from the top gives energy of formation from the pure elements values of -384; -468; -820; -815; -136; -572; -488; -152 meV per atom.
Taking the records one at a time from the top gives raw total energy values of -5.509; -5.586; -5.610; -5.624; -5.261; -5.054; -5.353; -4.801 eV/atom.
Taking the records one at a time from the top gives magnetization values of 1.9; 11.5; 3.6; 4.4; 2.3; 2.0; 6.2; 2.0 μB per cell.